## BaMgCd (PBE-GGA)

Data for a relaxed structure of BaMgCd.

The density is 3.89 g/cm3. The raw total energy comes out at -1.5122 eV per atom. For the total magnetic moment, the calculation gives 0.01 μB/f.u. Its energy relative to the elements is -35 meV/atom.

Unit cell a=5.491 b=5.491 c=5.491 alpha=60.00 beta=60.00 gamma=60.00
Positions (direct):
Ba  0.500  0.500  0.500
Cd  0.750  0.750  0.750
Mg  0.000  0.000  0.000

## Te2IrPt (PBE-GGA)

Data for a relaxed structure of Te2IrPt.

The density is 10.29 g/cm3. The uncorrected formation energy is 0.10 eV per atom. For the relative energy among the computed polymorphs, the calculation gives 89.6 kJ/mol of formula units. The raw total energy comes out at -5.1963 eV per atom. For the total magnetic moment, the calculation gives 0.00 μB/f.u.

Unit cell a=8.212 b=8.212 c=8.212 alpha=27.43 beta=27.43 gamma=27.43
Positions (direct):
Ir  0.500  0.500  0.500
Te  0.893  0.893  0.893
Te  0.107  0.107  0.107
Pt  0.000  0.000  0.000

## Pr2Nd5Y5 (PBE-GGA)

Data for a relaxed structure of Pr2Nd5Y5.

The density is 5.88 g/cm3. The raw total energy comes out at -5.4185 eV per atom. For the total magnetic moment, the calculation gives 0.00 μB/f.u. Its energy relative to the elements is 58 meV/atom.

Unit cell a=5.769 b=9.143 c=9.145 alpha=101.84 beta=71.61 gamma=71.61
Positions (direct):
Pr  0.336  0.541  0.787
Pr  0.664  0.459  0.213
Nd  0.665  0.212  0.458
Nd  0.001  0.247  0.751
Nd  0.999  0.753  0.249
Nd  0.335  0.788  0.542
Nd  0.000  0.000  0.000
Y  0.000  0.500  0.500
Y  0.669  0.707  0.956
Y  0.332  0.044  0.293
Y  0.668  0.956  0.707
Y  0.331  0.293  0.044

## TeP2SCl (PBE-GGA)

Data for a relaxed structure of TeP2SCl.

The density is 3.11 g/cm3. The uncorrected formation energy is 1.15 eV per atom. For the relative energy among the computed polymorphs, the calculation gives 206.0 kJ/mol of formula units. The raw total energy comes out at -2.8414 eV per atom. For the total magnetic moment, the calculation gives 1.45 μB/f.u.

Unit cell a=5.239 b=5.239 c=5.005 alpha=90.00 beta=90.00 gamma=90.00
Last column: magnetic moment on the atom in μB.
Positions (direct):
P  0.000  0.500  0.000  0.33
P  0.500  0.000  0.000  0.33
S  0.000  0.000  0.500  -0.03
Te  0.000  0.000  0.000  -0.02
Cl  0.500  0.500  0.500  0.04